[1]
This record from Alexandria describes LaRuCl at its PBEsol-relaxed geometry. The functional is SCAN.

The structure in POSCAR format:
```
LaRuCl
1.0
4.279 0.000 0.000
-2.140 3.706 0.000
0.000 0.000 3.584
Ru Cl La
1 1 1
direct
0.667 0.333 0.192 Ru
0.000 0.000 0.148 Cl
0.333 0.667 0.660 La
```

Summary:
crystal system = trigonal
energy relative to the elements, uncorrected = -0.61 eV per atom
DOS(E_F) = 0.80 states/eV per cell

***

[2]
This record from Alexandria describes LiPb5 at its PBEsol-relaxed geometry. The functional is SCAN.

The structure in POSCAR format:
```
LiPb5
1.0
-5.118 1.977 1.407
-1.717 -5.461 1.425
2.464 3.476 4.080
Li Pb
1 5
direct
0.500 0.000 0.000 Li
0.000 0.330 0.330 Pb
0.000 0.670 0.000 Pb
0.000 0.000 0.670 Pb
0.500 0.333 0.667 Pb
0.500 0.667 0.333 Pb
```

Summary:
offset from the most stable computed form = 0.0 meV per atom
crystal system = hexagonal
DOS(E_F) = 2.51 states/eV per cell
E_form = -0.080 eV/atom